{"formula": "Tl2CrSnF6", "functional": "PBE with a Hubbard U", "state": "optimized geometry", "volume_a3_per_atom": 18.58, "total_energy_ev_per_atom": -4.896, "spacegroup": "Pmmn", "lattice": [[6.1593, 0.0000, 0.0000], [0.0000, 9.3536, 0.0000], [0.0000, 0.0000, 6.4489]], "species": ["Tl", "Tl", "Tl", "Tl", "Cr", "Cr", "Sn", "Sn", "F", "F", "F", "F", "F", "F", "F", "F", "F", "F", "F", "F"], "frac_coords": [[0.2500, 0.0145, 0.2327], [0.2500, 0.4855, 0.2327], [0.7500, 0.5145, 0.7673], [0.7500, 0.9855, 0.7673], [0.2500, 0.7500, 0.7781], [0.7500, 0.2500, 0.2219], [0.2500, 0.2500, 0.7361], [0.7500, 0.7500, 0.2639], [0.0105, 0.7500, 0.0030], [0.0148, 0.7500, 0.5608], [0.2500, 0.0058, 0.8162], [0.2500, 0.4942, 0.8162], [0.4852, 0.7500, 0.5608], [0.4895, 0.7500, 0.0030], [0.5105, 0.2500, 0.9970], [0.5148, 0.2500, 0.4392], [0.7500, 0.5058, 0.1838], [0.7500, 0.9942, 0.1838], [0.9852, 0.2500, 0.4392], [0.9895, 0.2500, 0.9970]]}